[1]
AcPW: relaxed, PBE.

Its raw total energy is -8.0143 eV/atom. The formation energy is -524 meV per atom. As for the crystal system: tetragonal.

It has space group P4/nmm (No. 129, origin choice 2), with a = 3.966 Å, b = 3.966 Å, c = 9.556 Å, α = 90.00°, β = 90.00° and γ = 90.00°. Symmetry generates all atoms from Ac at (0.250, 0.250, 0.191), P at (0.250, 0.250, 0.661) and W at (0.250, 0.750, 0.500).

---

[2]
NaPrNd2: relaxed, PBE.

Its raw total energy is -3.7648 eV/atom. The formation energy is 144 meV per atom. As for the crystal system: trigonal.

It has space group R-3m (No. 166, hexagonal axes), with a = 3.6178 Å, b = 3.6178 Å, c = 39.2022 Å, α = 90.00°, β = 90.00° and γ = 120.00°. Symmetry generates all atoms from Na at (0.0000, 0.0000, 0.0000), Pr at (0.0000, 0.0000, 0.5000) and Nd at (0.0000, 0.0000, 0.0910).

---

[3]
Ac5Sn5Hg2: relaxed, PBE.

Its raw total energy is -4.0473 eV/atom. The formation energy is -617 meV per atom. As for the crystal system: monoclinic.

It has space group C2/m (No. 12), with a = 17.267 Å, b = 4.909 Å, c = 12.230 Å, α = 90.00°, β = 129.29° and γ = 90.00°. Symmetry generates all atoms from Ac at (0.000, 0.000, 0.000), Ac at (0.105, 0.000, 0.413), Ac at (0.193, 0.000, 0.824), Sn at (0.000, 0.500, 0.500), Sn at (0.067, 0.500, 0.857), Sn at (0.235, 0.500, 0.666) and Hg at (0.139, 0.500, 0.229).

---

[4]
AgPd12Au5: relaxed, PBE.

Its raw total energy is -4.5769 eV/atom. The formation energy is -46 meV per atom. As for the crystal system: monoclinic.

It has space group C2/m (No. 12), with a = 14.710 Å, b = 8.544 Å, c = 4.921 Å, α = 90.00°, β = 109.37° and γ = 90.00°. Symmetry generates all atoms from Ag at (0.000, 0.000, 0.000), Pd at (0.000, 0.168, 0.500), Pd at (0.000, 0.332, 0.000), Pd at (0.166, 0.168, 0.999), Pd at (0.167, 0.332, 0.500), Au at (0.000, 0.500, 0.500), Au at (0.166, 0.000, 0.498) and Au at (0.167, 0.500, 0.000).

---

[5]
Li3DyZn8: relaxed, PBE.

Its raw total energy is -1.9250 eV/atom. The formation energy is -214 meV per atom. As for the crystal system: trigonal.

It has space group R3m (No. 160, hexagonal axes), with a = 5.2016 Å, b = 5.2016 Å, c = 25.9795 Å, α = 90.00°, β = 90.00° and γ = 120.00°. Symmetry generates all atoms from Li at (0.0000, 0.0000, 0.0000), Li at (0.0000, 0.0000, 0.1191), Li at (0.0000, 0.0000, 0.6290), Dy at (0.0000, 0.0000, 0.5008), Zn at (0.0000, 0.0000, 0.3137), Zn at (0.0000, 0.0000, 0.8121), Zn at (0.0006, 0.5003, 0.5650) and Zn at (0.1674, 0.3348, 0.3948).

---

[6]
CaErCdGa: relaxed, PBE.

Its raw total energy is -3.0582 eV/atom. The formation energy is -432 meV per atom. As for the crystal system: tetragonal.

It has space group P4mm (No. 99), with a = 3.605 Å, b = 3.605 Å, c = 7.691 Å, α = 90.00°, β = 90.00° and γ = 90.00°. Symmetry generates all atoms from Ca at (0.000, 0.000, 0.000), Er at (0.000, 0.000, 0.470), Cd at (0.500, 0.500, 0.727) and Ga at (0.500, 0.500, 0.248).

---

[7]
Ho5Zr: relaxed, PBE.

Its raw total energy is -5.1649 eV/atom. The formation energy is 75 meV per atom. As for the crystal system: monoclinic.

It has space group Cm (No. 8), with a = 12.736 Å, b = 3.452 Å, c = 9.390 Å, α = 90.00°, β = 120.53° and γ = 90.00°. Symmetry generates all atoms from Ho at (0.000, 0.000, 0.000), Ho at (0.008, 0.000, 0.349), Ho at (0.044, 0.500, 0.705), Ho at (0.248, 0.500, 0.335), Ho at (0.267, 0.000, 0.683) and Zr at (0.284, 0.000, 0.040).

---

[8]
Nd2DyY3As6: relaxed, PBE.

Its raw total energy is -6.6509 eV/atom. The formation energy is -1532 meV per atom. As for the crystal system: monoclinic.

It has space group C2/m (No. 12), with a = 18.188 Å, b = 4.176 Å, c = 8.345 Å, α = 90.00°, β = 103.23° and γ = 90.00°. Symmetry generates all atoms from Nd at (0.166, 0.000, 0.332), Dy at (0.000, 0.500, 0.000), Y at (0.000, 0.500, 0.500), Y at (0.167, 0.000, 0.834), As at (0.002, 0.000, 0.752), As at (0.165, 0.500, 0.588) and As at (0.166, 0.500, 0.077).

---

[9]
Dy12Co6Sn: relaxed, PBE.

Its raw total energy is -5.6509 eV/atom. The formation energy is -290 meV per atom. As for the crystal system: cubic.

It has space group Im-3 (No. 204), with a = 9.655 Å, b = 9.655 Å, c = 9.655 Å, α = 90.00°, β = 90.00° and γ = 90.00°. Symmetry generates all atoms from Dy at (0.000, 0.194, 0.303), Co at (0.000, 0.387, 0.500) and Sn at (0.000, 0.000, 0.000).

---

[10]
Sc2TlRe: relaxed, PBE.

Its raw total energy is -6.5089 eV/atom. The formation energy is 360 meV per atom. As for the crystal system: orthorhombic.

It has space group Cmm2 (No. 35), with a = 3.459 Å, b = 5.009 Å, c = 9.678 Å, α = 90.00°, β = 90.00° and γ = 90.00°. Symmetry generates all atoms from Sc at (0.000, 0.000, 0.000), Sc at (0.000, 0.500, 0.283), Tl at (0.000, 0.500, 0.734) and Re at (0.000, 0.000, 0.495).

---

[11]
UBi2Pd8: relaxed, PBE.

Its raw total energy is -5.8209 eV/atom. The formation energy is -312 meV per atom. As for the crystal system: triclinic.

It has space group P-1 (No. 2), with a = 5.103 Å, b = 5.173 Å, c = 7.711 Å, α = 91.98°, β = 96.03° and γ = 98.54°. Symmetry generates all atoms from U at (0.000, 0.000, 0.000), Bi at (0.202, 0.408, 0.711), Pd at (0.092, 0.154, 0.349), Pd at (0.268, 0.540, 0.090), Pd at (0.369, 0.740, 0.454) and Pd at (0.459, 0.927, 0.822).

---

[12]
ScAlCl2: relaxed, PBE.

Its raw total energy is -4.4345 eV/atom. The calculation puts the energy relative to the elements, uncorrected at -3.97 eV per formula unit. As for the crystal system: tetragonal.

It has space group P4mm (No. 99), with a = 3.261 Å, b = 3.261 Å, c = 8.269 Å, α = 90.00°, β = 90.00° and γ = 90.00°. Symmetry generates all atoms from Sc at (0.000, 0.000, 0.000), Al at (0.500, 0.500, 0.227), Cl at (0.000, 0.000, 0.419) and Cl at (0.500, 0.500, 0.832).